# LaFeO2 GGA+U relaxed
data_LaFeO2
_cell_length_a 5.069
_cell_length_b 5.069
_cell_length_c 10.859
_cell_angle_alpha 90.00
_cell_angle_beta 90.00
_cell_angle_gamma 90.00
_space_group_name_H-M_alt 'I -4 2 d'
_space_group_IT_number 122
_space_group_name_Hall 'I -4 2bw'
loop_
_atom_site_label
_atom_site_type_symbol
_atom_site_fract_x
_atom_site_fract_y
_atom_site_fract_z
La1 La 0.000 0.000 0.000
Fe1 Fe 0.000 0.000 0.500
O1 O 0.218 0.250 0.625
# Volume in Å³/atom: 17.437
# E_tot in eV per atom: -7.03